[1]
A plane-wave DFT calculation with PBE was carried out for a relaxed structure of Pa2Cd2C.

```
data_Pa2Cd2C
_chemical_formula_sum 'Pa6 Cd6 C3'
_cell_length_a 3.3252
_cell_length_b 3.3252
_cell_length_c 33.5702
_cell_angle_alpha 90.00
_cell_angle_beta 90.00
_cell_angle_gamma 120.00
_space_group_name_H-M_alt 'R -3 m'
_space_group_IT_number 166
_space_group_name_Hall '-R 3 2"'
loop_
_atom_site_label
_atom_site_type_symbol
_atom_site_fract_x
_atom_site_fract_y
_atom_site_fract_z
_atom_site_occupancy
Pa1 Pa 0.0000 0.0000 0.1218 1
Cd1 Cd 0.0000 0.0000 0.3707 1
C1 C 0.0000 0.0000 0.5000 1
```

As for the density of states at the Fermi level: 18.3 states/eV per cell. The value obtained for the total magnetization is 0.00 μB/atom. The value obtained for the energy is -0.22719 hartree per atom. The density is 10.8 g/cm³.

=====

[2]
A plane-wave DFT calculation with PBE was carried out for a relaxed structure of Cd2PbC.

```
data_Cd2PbC
_chemical_formula_sum 'Cd8 Pb4 C4'
_cell_length_a 6.9880
_cell_length_b 6.9880
_cell_length_c 6.9880
_cell_angle_alpha 90.00
_cell_angle_beta 90.00
_cell_angle_gamma 90.00
_space_group_name_H-M_alt 'F m -3 m'
_space_group_IT_number 225
_space_group_name_Hall '-F 4 2 3'
loop_
_atom_site_label
_atom_site_type_symbol
_atom_site_fract_x
_atom_site_fract_y
_atom_site_fract_z
_atom_site_occupancy
Cd1 Cd 0.2500 0.2500 0.2500 1
Pb1 Pb 0.0000 0.0000 0.0000 1
C1 C 0.0000 0.0000 0.5000 1
```

As for the density of states at the Fermi level: 2.3 states/eV per cell. The value obtained for the total magnetization is 0.00 μB/atom. The calculation puts the offset from the most stable computed form at 436 meV/atom. The density is 8.6 g/cm³.

=====

[3]
A plane-wave DFT calculation with PBE was carried out for a relaxed structure of Cd2PbC.

```
data_Cd2PbC
_chemical_formula_sum 'Cd8 Pb4 C4'
_cell_length_a 6.6381
_cell_length_b 6.6381
_cell_length_c 9.3132
_cell_angle_alpha 90.00
_cell_angle_beta 90.00
_cell_angle_gamma 90.00
_space_group_name_H-M_alt 'I -4 2 d'
_space_group_IT_number 122
_space_group_name_Hall 'I -4 2bw'
loop_
_atom_site_label
_atom_site_type_symbol
_atom_site_fract_x
_atom_site_fract_y
_atom_site_fract_z
_atom_site_occupancy
Cd1 Cd 0.1060 0.2500 0.1250 1
Pb1 Pb 0.0000 0.0000 0.5000 1
C1 C 0.0000 0.0000 0.0000 1
```

As for the density of states at the Fermi level: 4.9 states/eV per cell. The value obtained for the total magnetization is 0.00 μB/atom. The calculation puts the offset from the most stable computed form at 0 meV/atom. The density is 7.2 g/cm³.

=====

[4]
A plane-wave DFT calculation with PBE was carried out for a relaxed structure of Cd3PbC.

```
data_Cd3PbC
_chemical_formula_sum 'Cd3 Pb1 C1'
_cell_length_a 4.7801
_cell_length_b 4.7801
_cell_length_c 4.7801
_cell_angle_alpha 90.00
_cell_angle_beta 90.00
_cell_angle_gamma 90.00
_space_group_name_H-M_alt 'P m -3 m'
_space_group_IT_number 221
_space_group_name_Hall '-P 4 2 3'
loop_
_atom_site_label
_atom_site_type_symbol
_atom_site_fract_x
_atom_site_fract_y
_atom_site_fract_z
_atom_site_occupancy
Cd1 Cd 0.0000 0.0000 0.5000 1
Pb1 Pb 0.5000 0.5000 0.5000 1
C1 C 0.0000 0.0000 0.0000 1
```

As for the density of states at the Fermi level: 3.6 states/eV per cell. The value obtained for the total magnetization is 0.00 μB/atom. The calculation puts the offset from the most stable computed form at 0 meV/atom. The density is 8.5 g/cm³.

=====

[5]
A plane-wave DFT calculation with PBE was carried out for a relaxed structure of Cd3PbC.

```
data_Cd3PbC
_chemical_formula_sum 'Cd3 Pb1 C1'
_cell_length_a 5.7793
_cell_length_b 5.7793
_cell_length_c 5.7793
_cell_angle_alpha 90.00
_cell_angle_beta 90.00
_cell_angle_gamma 90.00
_space_group_name_H-M_alt 'P m -3 m'
_space_group_IT_number 221
_space_group_name_Hall '-P 4 2 3'
loop_
_atom_site_label
_atom_site_type_symbol
_atom_site_fract_x
_atom_site_fract_y
_atom_site_fract_z
_atom_site_occupancy
Cd1 Cd 0.0000 0.0000 0.5000 1
Pb1 Pb 0.0000 0.0000 0.0000 1
C1 C 0.5000 0.5000 0.5000 1
```

As for the density of states at the Fermi level: 2.0 states/eV per cell. The value obtained for the total magnetization is 0.53 μB/atom. The calculation puts the offset from the most stable computed form at 880 meV/atom. The density is 4.8 g/cm³.

=====

[6]
A plane-wave DFT calculation with PBE was carried out for a relaxed structure of Cd2RhPbC.

```
data_Cd2RhPbC
_chemical_formula_sum 'Cd2 Rh1 Pb1 C1'
_cell_length_a 5.6242
_cell_length_b 5.6242
_cell_length_c 4.2976
_cell_angle_alpha 90.00
_cell_angle_beta 90.00
_cell_angle_gamma 90.00
_space_group_name_H-M_alt 'P 4/m m m'
_space_group_IT_number 123
_space_group_name_Hall '-P 4 2'
loop_
_atom_site_label
_atom_site_type_symbol
_atom_site_fract_x
_atom_site_fract_y
_atom_site_fract_z
_atom_site_occupancy
Cd1 Cd 0.0000 0.5000 0.0000 1
Rh1 Rh 0.0000 0.0000 0.5000 1
Pb1 Pb 0.5000 0.5000 0.0000 1
C1 C 0.5000 0.5000 0.5000 1
```

As for the density of states at the Fermi level: 4.8 states/eV per cell. The value obtained for the total magnetization is 0.33 μB/atom. The value obtained for the energy is -0.09065 hartree per atom. The density is 6.7 g/cm³.